A plane-wave DFT calculation with PBE was carried out for a relaxed PuInAg2O8 crystal.

POSCAR file:
```
PuInAg2O8
1.0
-2.4585 -5.5080 0.4378
5.8593 -1.2521 -0.8217
-1.0307 3.4520 4.8575
O Ag In Pu
8 2 1 1
Cartesian
-2.4063 -1.6152 3.7595 O
2.0430 -1.0472 3.6326 O
1.8237 -5.2358 0.6721 O
-1.1425 -4.7214 1.6104 O
0.9009 -3.7904 3.3183 O
-0.9435 1.1654 4.0271 O
1.8170 -1.4985 0.6154 O
-0.9298 -0.7451 1.5186 O
-0.8944 -2.7180 2.5517 Ag
1.7004 -3.3801 -0.1919 Ag
3.2645 -0.5901 1.9219 In
0.0000 0.0000 0.0000 Pu
```

Properties
* total energy: -0.223 Ha/atom
* space-group type: I-4m2 (119)
* V: 14.03 Å³ per atom
* magnetization: 0.0426 μB/atom